(1)
Computed, not measured: a relaxed LiOs2Cl crystal at the PBE level of DFT.

```
data_LiOs2Cl
_chemical_formula_sum 'Li2 Os4 Cl2'
_symmetry_space_group_name_H-M 'P 1'
_symmetry_Int_Tables_number 1
_symmetry_space_group_name_Hall 'P 1'
_cell_length_a 8.151
_cell_length_b 8.151
_cell_length_c 6.145
_cell_angle_alpha 48.45
_cell_angle_beta 48.45
_cell_angle_gamma 90.00
loop_
_atom_site_label
_atom_site_type_symbol
_atom_site_fract_x
_atom_site_fract_y
_atom_site_fract_z
Li1 Li 0.500 0.500 0.000
Li2 Li 0.250 0.750 0.500
Os1 Os 0.691 0.125 0.250
Os2 Os 0.059 0.625 0.250
Os3 Os 0.375 0.309 0.750
Os4 Os 0.875 0.941 0.750
Cl1 Cl 0.000 0.000 0.000
Cl2 Cl 0.750 0.250 0.500
```

Results
**Final energy**: -44.25 eV for the cell shown
**Formation energy without anion corrections**: 1.02 eV/atom
**Calculated volume**: 141.5 Å³ per cell
**Space-group type**: I-42d (122)

(2)
Computed, not measured: a relaxed Nb3AlSn crystal at the PBE level of DFT.

```
data_Nb3AlSn
_chemical_formula_sum 'Nb12 Al4 Sn4'
_symmetry_space_group_name_H-M 'P 1'
_symmetry_Int_Tables_number 1
_symmetry_space_group_name_Hall 'P 1'
_cell_length_a 8.210
_cell_length_b 7.292
_cell_length_c 7.292
_cell_angle_alpha 80.81
_cell_angle_beta 68.35
_cell_angle_gamma 68.35
loop_
_atom_site_label
_atom_site_type_symbol
_atom_site_fract_x
_atom_site_fract_y
_atom_site_fract_z
Nb1 Nb 0.601 0.697 0.024
Nb2 Nb 0.899 0.976 0.303
Nb3 Nb 0.399 0.303 0.976
Nb4 Nb 0.101 0.024 0.697
Nb5 Nb 0.954 0.328 0.040
Nb6 Nb 0.546 0.960 0.672
Nb7 Nb 0.046 0.672 0.960
Nb8 Nb 0.454 0.040 0.328
Nb9 Nb 0.435 0.638 0.722
Nb10 Nb 0.065 0.278 0.362
Nb11 Nb 0.565 0.362 0.278
Nb12 Nb 0.935 0.722 0.638
Al1 Al 0.795 0.412 0.767
Al2 Al 0.705 0.233 0.588
Al3 Al 0.205 0.588 0.233
Al4 Al 0.295 0.767 0.412
Sn1 Sn 0.250 0.969 0.031
Sn2 Sn 0.750 0.031 0.969
Sn3 Sn 0.250 0.354 0.646
Sn4 Sn 0.750 0.646 0.354
```

Results
**Final energy**: -151.39 eV for the cell shown
**Calculated volume**: 376.9 Å³ per cell
**Space-group type**: C2/c (15)
**Energy relative to the elements**: 0.022 eV/atom

(3)
Computed, not measured: a relaxed BaAg2F crystal at the PBE level of DFT.

```
data_BaAg2F
_chemical_formula_sum 'Ba1 Ag2 F1'
_symmetry_space_group_name_H-M 'P 1'
_symmetry_Int_Tables_number 1
_symmetry_space_group_name_Hall 'P 1'
_cell_length_a 5.350
_cell_length_b 5.350
_cell_length_c 5.350
_cell_angle_alpha 60.00
_cell_angle_beta 60.00
_cell_angle_gamma 60.00
loop_
_atom_site_label
_atom_site_type_symbol
_atom_site_fract_x
_atom_site_fract_y
_atom_site_fract_z
Ba1 Ba 0.500 0.500 0.500
Ag1 Ag 0.250 0.250 0.250
Ag2 Ag 0.750 0.750 0.750
F1 F 0.000 0.000 0.000
```

Results
**Final energy**: -11.12 eV for the cell shown
**Formation energy without anion corrections**: -0.41 eV/atom
**Calculated volume**: 108.3 Å³ per cell
**Space-group type**: Fm-3m (225)

Mass density per entry: 9.9; 7.5; 5.7 g/cm3
Density of states at the Fermi level per entry: 5.6; 14.3; 6.0 states/eV/cell